ErThTlAu | PBE | optimized geometry

Results
- E above lowest polymorph: 96 meV per atom
- Space-group type: No. 216
- Calculated density: 12.5 g/cm³
- D(E_F): 0.859 states/eV per atom
- Energy relative to the elements: -390.9 meV/atom

Cell: 5.314 5.314 5.314 Å, 60.00 60.00 60.00°
Fractional positions:
Er (0.000, 0.000, 0.000)
Th (0.500, 0.500, 0.500)
Tl (0.250, 0.250, 0.250)
Au (0.750, 0.750, 0.750)

---

ErThTlAu | PBE | optimized geometry

Results
- E above lowest polymorph: 0 meV per atom
- Space-group type: No. 99
- Calculated density: 12.8 g/cm³
- D(E_F): 0.733 states/eV per atom
- Energy relative to the elements: -486.5 meV/atom

Cell: 3.575 3.575 8.155 Å, 90.00 90.00 90.00°
Fractional positions:
Er (0.000, 0.000, 0.000)
Th (0.000, 0.000, 0.460)
Tl (0.500, 0.500, 0.740)
Au (0.500, 0.500, 0.199)